(1)
BeAg2Os: optimized geometry, GGA-PBE.

Geometry as POSCAR:
```
BeAg2Os
1.0
-2.184 2.184 3.097
2.184 -2.184 3.097
2.184 2.184 -3.097
Be Ag Os
1 2 1
direct
0.000 0.000 0.000 Be
0.500 0.500 0.000 Ag
0.750 0.250 0.500 Ag
0.250 0.750 0.500 Os
```

Computed properties:
- SG: I-4m2 (119)
- Calculated formation energy: 2.9 eV/f.u.

(2)
Be2AgOs: optimized geometry, GGA-PBE.

Geometry as POSCAR:
```
Be2AgOs
1.0
-1.671 1.671 4.357
1.671 -1.671 4.357
1.671 1.671 -4.357
Be Ag Os
2 1 1
direct
0.000 0.000 0.000 Be
0.750 0.250 0.500 Be
0.500 0.500 0.000 Ag
0.250 0.750 0.500 Os
```

Computed properties:
- SG: I-4m2 (119)
- Calculated formation energy: 1.3 eV/f.u.

(3)
BeAg2Os: optimized geometry, GGA-PBE.

Geometry as POSCAR:
```
BeAg2Os
1.0
3.702 0.000 0.000
0.000 3.702 0.000
0.000 0.000 4.299
Be Ag Os
1 2 1
direct
0.000 0.000 0.000 Be
0.000 0.500 0.500 Ag
0.500 0.000 0.500 Ag
0.500 0.500 0.000 Os
```

Computed properties:
- SG: P4/mmm (123)
- Calculated formation energy: 2.5 eV/f.u.

(4)
BeAg2Os2: optimized geometry, GGA-PBE.

Geometry as POSCAR:
```
BeAg2Os2
1.0
-1.774 1.774 6.714
1.774 -1.774 6.714
1.774 1.774 -6.714
Be Ag Os
1 2 2
direct
0.000 0.000 0.000 Be
0.250 0.750 0.500 Ag
0.750 0.250 0.500 Ag
0.415 0.415 0.000 Os
0.585 0.585 0.000 Os
```

Computed properties:
- SG: I4/mmm (139)
- Calculated formation energy: 6.2 eV/f.u.

(5)
BeAg2Os: optimized geometry, GGA-PBE.

Geometry as POSCAR:
```
BeAg2Os
1.0
1.373 0.793 8.908
-1.373 0.793 8.908
0.000 -1.586 8.908
Be Ag Os
1 2 1
direct
0.000 0.000 0.000 Be
0.259 0.259 0.259 Ag
0.741 0.741 0.741 Ag
0.500 0.500 0.500 Os
```

Computed properties:
- SG: R-3m (166)
- Calculated formation energy: 1.8 eV/f.u.

(6)
Be2AgOs: optimized geometry, GGA-PBE.

Geometry as POSCAR:
```
Be2AgOs
1.0
3.109 0.000 0.000
0.000 3.481 0.000
-1.542 0.000 4.320
Be Ag Os
2 1 1
direct
0.000 0.000 0.000 Be
0.152 0.500 0.311 Be
0.425 0.500 0.850 Ag
0.704 0.000 0.416 Os
```

Computed properties:
- SG: Pm (6)
- Calculated formation energy: 0.4 eV/f.u.